(1)
Here is an optimized crystal structure of BaNa2Ag from Alexandria. Energies are from GGA-PBE.

a = 5.334 Å, b = 5.334 Å, c = 6.607 Å
α = 66.19°, β = 66.19°, γ = 60.00°
Element x y z (fractional)
Na  0.014  0.014  0.957
Na  0.286  0.286  0.143
Ba  0.494  0.494  0.519
Ag  0.706  0.706  0.881

Output
ρ: 3.36 g/cm3
E_form: -0.0492 eV/atom
Distance to the lowest polymorph of the same formula: 0.18 eV/f.u.
DFT total energy: -7.6 eV/f.u.
Space group: R3m (160)

***

(2)
Here is an optimized crystal structure of BaNa3Ag8 from Alexandria. Energies are from GGA-PBE.

a = 5.757 Å, b = 5.757 Å, c = 10.149 Å
α = 73.52°, β = 73.52°, γ = 60.00°
Element x y z (fractional)
Ag  0.937  0.937  0.693
Ag  0.187  0.187  0.439
Ag  0.441  0.441  0.176
Ag  0.942  0.441  0.176
Ag  0.688  0.688  0.935
Ag  0.937  0.434  0.693
Ag  0.441  0.942  0.176
Ag  0.434  0.937  0.693
Ba  0.876  0.876  0.372
Na  0.005  0.005  0.984
Na  0.373  0.373  0.881
Na  0.489  0.489  0.532

Output
ρ: 6.45 g/cm3
E_form: -0.1087 eV/atom
DFT total energy: -30.0 eV/f.u.
Space group: R3m (160)

***

(3)
Here is an optimized crystal structure of Ba2NaAg from Alexandria. Energies are from GGA-PBE.

a = 4.635 Å, b = 8.529 Å, c = 9.396 Å
α = 93.51°, β = 90.00°, γ = 105.77°
Element x y z (fractional)
Na  0.624  0.249  0.959
Na  0.376  0.751  0.041
Ba  0.969  0.938  0.716
Ba  0.232  0.464  0.685
Ba  0.768  0.536  0.315
Ba  0.031  0.062  0.284
Ag  0.407  0.814  0.452
Ag  0.593  0.186  0.548

Output
ρ: 3.78 g/cm3
E_form: -0.1283 eV/atom
Distance to the lowest polymorph of the same formula: 0.01 eV/f.u.
DFT total energy: -8.5 eV/f.u.
Space group: C2/m (12)

***

(4)
Here is an optimized crystal structure of Ba6NaAg2 from Alexandria. Energies are from GGA-PBE.

a = 10.433 Å, b = 10.433 Å, c = 10.433 Å
α = 104.79°, β = 109.87°, γ = 113.89°
Element x y z (fractional)
Ba  0.204  0.237  0.441
Ba  0.691  0.364  0.673
Ba  0.796  0.763  0.559
Ba  0.309  0.983  0.673
Ba  0.204  0.763  0.966
Ba  0.309  0.636  0.327
Ba  0.531  0.712  0.819
Ba  0.796  0.237  0.034
Ba  0.107  0.288  0.819
Ba  0.469  0.288  0.181
Ba  0.691  0.017  0.327
Ba  0.893  0.712  0.181
Na  0.000  0.000  0.000
Na  0.000  0.500  0.500
Ag  0.343  0.000  0.343
Ag  0.657  0.000  0.657
Ag  0.500  0.617  0.117
Ag  0.500  0.383  0.883

Output
ρ: 4.06 g/cm3
E_form: -0.1243 eV/atom
DFT total energy: -19.7 eV/f.u.
Space group: Immm (71)

***

(5)
Here is an optimized crystal structure of BaNaAg2 from Alexandria. Energies are from GGA-PBE.

a = 5.583 Å, b = 5.583 Å, c = 5.583 Å
α = 60.00°, β = 60.00°, γ = 60.00°
Element x y z (fractional)
Ba  0.500  0.500  0.500
Ag  0.250  0.250  0.250
Ag  0.750  0.750  0.750
Na  0.000  0.000  0.000

Output
ρ: 5.08 g/cm3
E_form: -0.1249 eV/atom
Distance to the lowest polymorph of the same formula: 0.20 eV/f.u.
DFT total energy: -9.4 eV/f.u.
Space group: Fm-3m (225)

***

(6)
Here is an optimized crystal structure of Ba5NaAg2 from Alexandria. Energies are from GGA-PBE.

a = 9.267 Å, b = 9.267 Å, c = 10.860 Å
α = 115.25°, β = 115.25°, γ = 90.00°
Element x y z (fractional)
Ba  0.472  0.296  0.268
Ba  0.972  0.472  0.268
Ba  0.704  0.204  0.732
Ba  0.500  0.500  0.000
Ba  0.000  0.000  0.000
Ba  0.796  0.972  0.268
Ba  0.296  0.796  0.268
Ba  0.028  0.528  0.732
Ba  0.204  0.028  0.732
Ba  0.528  0.704  0.732
Ag  0.127  0.373  0.000
Ag  0.873  0.627  0.000
Ag  0.627  0.127  0.000
Ag  0.373  0.873  0.000
Na  0.750  0.750  0.500
Na  0.250  0.250  0.500

Output
ρ: 4.13 g/cm3
E_form: -0.1439 eV/atom
DFT total energy: -17.8 eV/f.u.
Space group: I4/mcm (140)

***

(7)
Here is an optimized crystal structure of BaNaAg from Alexandria. Energies are from GGA-PBE.

a = 5.536 Å, b = 5.536 Å, c = 5.536 Å
α = 60.00°, β = 60.00°, γ = 60.00°
Element x y z (fractional)
Ba  0.000  0.000  0.000
Na  0.500  0.500  0.500
Ag  0.250  0.250  0.250

Output
ρ: 3.71 g/cm3
E_form: -0.0887 eV/atom
Distance to the lowest polymorph of the same formula: 0.26 eV/f.u.
DFT total energy: -6.4 eV/f.u.
Space group: F-43m (216)

***

(8)
Here is an optimized crystal structure of BaNaAg3 from Alexandria. Energies are from GGA-PBE.

a = 4.865 Å, b = 4.215 Å, c = 14.241 Å
α = 98.51°, β = 90.00°, γ = 90.00°
Element x y z (fractional)
Na  0.750  0.210  0.419
Na  0.250  0.790  0.581
Ag  0.250  0.372  0.744
Ag  0.750  0.321  0.641
Ag  0.250  0.473  0.947
Ag  0.750  0.527  0.053
Ag  0.750  0.628  0.256
Ag  0.250  0.679  0.359
Ba  0.250  0.078  0.156
Ba  0.750  0.922  0.844

Output
ρ: 5.57 g/cm3
E_form: -0.1490 eV/atom
Distance to the lowest polymorph of the same formula: 0.00 eV/f.u.
DFT total energy: -12.5 eV/f.u.
Space group: Cmcm (63)

***

(9)
Here is an optimized crystal structure of BaNa2Ag4 from Alexandria. Energies are from GGA-PBE.

a = 4.808 Å, b = 4.185 Å, c = 10.311 Å
α = 101.71°, β = 103.48°, γ = 90.00°
Element x y z (fractional)
Ba  0.500  0.000  0.000
Ag  0.352  0.352  0.703
Ag  0.648  0.648  0.297
Ag  0.073  0.573  0.146
Ag  0.927  0.427  0.854
Na  0.808  0.808  0.616
Na  0.192  0.192  0.384

Output
ρ: 5.17 g/cm3
E_form: -0.0903 eV/atom
DFT total energy: -16.6 eV/f.u.
Space group: Immm (71)

***

(10)
Here is an optimized crystal structure of Ba4NaAg2 from Alexandria. Energies are from GGA-PBE.

a = 6.131 Å, b = 6.122 Å, c = 18.461 Å
α = 90.00°, β = 90.00°, γ = 120.05°
Element x y z (fractional)
Ag  0.833  0.666  0.566
Ag  0.833  0.666  0.934
Ag  0.167  0.334  0.066
Ag  0.167  0.334  0.434
Na  0.499  0.999  0.750
Na  0.501  0.001  0.250
Ba  0.167  0.334  0.250
Ba  0.500  0.000  0.500
Ba  0.166  0.332  0.882
Ba  0.500  0.000  0.000
Ba  0.166  0.332  0.618
Ba  0.834  0.668  0.382
Ba  0.834  0.668  0.118
Ba  0.833  0.666  0.750

Output
ρ: 4.36 g/cm3
E_form: -0.1012 eV/atom
Distance to the lowest polymorph of the same formula: 0.00 eV/f.u.
DFT total energy: -15.4 eV/f.u.
Space group: Cmcm (63)

***

(11)
Here is an optimized crystal structure of Ba2NaAg2 from Alexandria. Energies are from GGA-PBE.

a = 6.538 Å, b = 6.538 Å, c = 6.534 Å
α = 59.98°, β = 59.98°, γ = 90.00°
Element x y z (fractional)
Na  0.000  0.000  0.000
Ag  0.352  0.352  0.296
Ag  0.648  0.648  0.704
Ba  0.250  0.750  0.500
Ba  0.750  0.250  0.500

Output
ρ: 4.32 g/cm3
E_form: -0.0663 eV/atom
Distance to the lowest polymorph of the same formula: 0.79 eV/f.u.
DFT total energy: -11.2 eV/f.u.
Space group: I4/mmm (139)

***

(12)
Here is an optimized crystal structure of BaNa2Ag from Alexandria. Energies are from GGA-PBE.

a = 4.033 Å, b = 4.033 Å, c = 11.972 Å
α = 80.30°, β = 80.30°, γ = 60.00°
Element x y z (fractional)
Ba  0.000  0.000  0.000
Na  0.111  0.111  0.666
Na  0.889  0.889  0.334
Ag  0.500  0.500  0.500

Output
ρ: 2.92 g/cm3
E_form: 0.2173 eV/atom
Distance to the lowest polymorph of the same formula: 1.25 eV/f.u.
DFT total energy: -6.5 eV/f.u.
Space group: R-3m (166)

***

(13)
Here is an optimized crystal structure of BaNa6Ag2 from Alexandria. Energies are from GGA-PBE.

a = 4.774 Å, b = 4.774 Å, c = 13.075 Å
α = 90.00°, β = 90.00°, γ = 90.00°
Element x y z (fractional)
Ag  0.500  0.500  0.893
Ag  0.500  0.500  0.107
Ba  0.000  0.000  0.000
Na  0.000  0.500  0.731
Na  0.500  0.500  0.500
Na  0.500  0.000  0.269
Na  0.000  0.500  0.269
Na  0.500  0.000  0.731
Na  0.000  0.000  0.500

Output
ρ: 2.74 g/cm3
E_form: -0.0603 eV/atom
DFT total energy: -16.1 eV/f.u.
Space group: P4/mmm (123)

***

(14)
Here is an optimized crystal structure of Ba2NaAg from Alexandria. Energies are from GGA-PBE.

a = 4.689 Å, b = 4.689 Å, c = 12.153 Å
α = 78.88°, β = 78.88°, γ = 60.00°
Element x y z (fractional)
Na  0.000  0.000  0.000
Ag  0.500  0.500  0.500
Ba  0.887  0.887  0.339
Ba  0.113  0.113  0.661

Output
ρ: 2.99 g/cm3
E_form: 0.0251 eV/atom
Distance to the lowest polymorph of the same formula: 0.63 eV/f.u.
DFT total energy: -7.9 eV/f.u.
Space group: R-3m (166)

***

(15)
Here is an optimized crystal structure of BaNa2Ag from Alexandria. Energies are from GGA-PBE.

a = 4.926 Å, b = 6.574 Å, c = 9.579 Å
α = 90.00°, β = 90.00°, γ = 112.04°
Element x y z (fractional)
Ag  0.237  0.474  0.250
Ag  0.763  0.526  0.750
Na  0.342  0.682  0.942
Na  0.342  0.682  0.558
Na  0.658  0.318  0.058
Na  0.658  0.318  0.442
Ba  0.054  0.108  0.750
Ba  0.946  0.892  0.250

Output
ρ: 3.36 g/cm3
E_form: -0.0947 eV/atom
Distance to the lowest polymorph of the same formula: 0.00 eV/f.u.
DFT total energy: -7.8 eV/f.u.
Space group: P2_1/m (11)

***

(16)
Here is an optimized crystal structure of Ba3NaAg7 from Alexandria. Energies are from GGA-PBE.

a = 4.630 Å, b = 11.323 Å, c = 13.320 Å
α = 90.00°, β = 90.00°, γ = 101.80°
Element x y z (fractional)
Ag  0.622  0.244  0.648
Ag  0.378  0.756  0.352
Ag  0.408  0.815  0.750
Ag  0.499  0.999  0.396
Ag  0.501  0.001  0.604
Ag  0.501  0.001  0.896
Ag  0.622  0.244  0.852
Ag  0.275  0.550  0.037
Ag  0.725  0.450  0.537
Ag  0.378  0.756  0.148
Ag  0.592  0.185  0.250
Ag  0.275  0.550  0.463
Ag  0.725  0.450  0.963
Ag  0.499  0.999  0.104
Ba  0.112  0.223  0.046
Ba  0.888  0.777  0.954
Ba  0.888  0.777  0.546
Ba  0.234  0.467  0.750
Ba  0.112  0.223  0.454
Ba  0.766  0.533  0.250
Na  0.036  0.072  0.750
Na  0.964  0.928  0.250

Output
ρ: 5.78 g/cm3
E_form: -0.1650 eV/atom
DFT total energy: -28.9 eV/f.u.
Space group: Cmcm (63)

***

(17)
Here is an optimized crystal structure of BaNa2Ag from Alexandria. Energies are from GGA-PBE.

a = 5.752 Å, b = 5.752 Å, c = 5.752 Å
α = 60.00°, β = 60.00°, γ = 60.00°
Element x y z (fractional)
Na  0.250  0.250  0.250
Na  0.750  0.750  0.750
Ag  0.000  0.000  0.000
Ba  0.500  0.500  0.500

Output
ρ: 3.59 g/cm3
E_form: 0.0705 eV/atom
Distance to the lowest polymorph of the same formula: 0.66 eV/f.u.
DFT total energy: -7.1 eV/f.u.
Space group: Fm-3m (225)

***

(18)
Here is an optimized crystal structure of BaNaAg from Alexandria. Energies are from GGA-PBE.

a = 4.589 Å, b = 5.205 Å, c = 5.205 Å
α = 120.00°, β = 90.00°, γ = 90.00°
Element x y z (fractional)
Na  0.166  0.000  0.000
Ba  0.667  0.667  0.333
Ag  0.168  0.333  0.667

Output
ρ: 4.14 g/cm3
E_form: -0.1027 eV/atom
Distance to the lowest polymorph of the same formula: 0.21 eV/f.u.
DFT total energy: -6.4 eV/f.u.
Space group: P3m1 (156)

***

(19)
Here is an optimized crystal structure of Ba4NaAg2 from Alexandria. Energies are from GGA-PBE.

a = 5.779 Å, b = 5.779 Å, c = 11.439 Å
α = 75.37°, β = 75.37°, γ = 60.00°
Element x y z (fractional)
Na  0.500  0.500  0.500
Ba  0.888  0.888  0.336
Ba  0.112  0.112  0.664
Ba  0.297  0.297  0.110
Ba  0.703  0.703  0.890
Ag  0.596  0.596  0.213
Ag  0.404  0.404  0.787

Output
ρ: 4.14 g/cm3
E_form: -0.0823 eV/atom
Distance to the lowest polymorph of the same formula: 0.13 eV/f.u.
DFT total energy: -15.3 eV/f.u.
Space group: R-3m (166)

***

(20)
Here is an optimized crystal structure of Ba2NaAg2 from Alexandria. Energies are from GGA-PBE.

a = 8.885 Å, b = 8.885 Å, c = 4.663 Å
α = 90.00°, β = 90.00°, γ = 90.00°
Element x y z (fractional)
Ba  0.673  0.827  0.500
Ba  0.827  0.327  0.500
Ba  0.173  0.673  0.500
Ba  0.327  0.173  0.500
Na  0.500  0.500  0.000
Na  0.000  0.000  0.000
Ag  0.382  0.882  0.000
Ag  0.618  0.118  0.000
Ag  0.118  0.382  0.000
Ag  0.882  0.618  0.000

Output
ρ: 4.63 g/cm3
E_form: -0.2240 eV/atom
Distance to the lowest polymorph of the same formula: 0.00 eV/f.u.
DFT total energy: -12.0 eV/f.u.
Space group: P4/mbm (127)